(1)
Computed, not measured: crystalline Zn2PAu at its relaxed geometry at the PBE level of DFT.

Cell and atoms, written as CIF:
```
data_Zn2PAu
_cell_length_a 3.6843
_cell_length_b 3.6843
_cell_length_c 5.2796
_cell_angle_alpha 90.00
_cell_angle_beta 90.00
_cell_angle_gamma 90.00
_space_group_name_H-M_alt 'P 4/m m m'
_space_group_IT_number 123
_space_group_name_Hall '-P 4 2'
loop_
_atom_site_label
_atom_site_type_symbol
_atom_site_fract_x
_atom_site_fract_y
_atom_site_fract_z
Zn1 Zn 0.0000 0.0000 0.0000
Zn2 Zn 0.5000 0.5000 0.5000
P1 P 0.0000 0.0000 0.5000
Au1 Au 0.5000 0.5000 0.0000
```

=====

(2)
Computed, not measured: crystalline ZnPAu at its relaxed geometry at the PBE level of DFT.

Cell and atoms, written as CIF:
```
data_ZnPAu
_cell_length_a 2.8697
_cell_length_b 2.8697
_cell_length_c 12.0283
_cell_angle_alpha 90.00
_cell_angle_beta 90.00
_cell_angle_gamma 90.00
_space_group_name_H-M_alt 'I 4 m m'
_space_group_IT_number 107
_space_group_name_Hall 'I 4 -2'
loop_
_atom_site_label
_atom_site_type_symbol
_atom_site_fract_x
_atom_site_fract_y
_atom_site_fract_z
Zn1 Zn 0.0000 0.0000 0.0000
P1 P 0.0000 0.0000 0.6466
Au1 Au 0.0000 0.0000 0.3411
```

=====

Taking the records one at a time from the top gives energy of formation from the pure elements values of 0.094; 0.248 eV/atom.